(1)
This record from Alexandria via LeMat-Bulk describes a crystal of Cr2P2Rh relaxed with PBEsol. The functional is meta-GGA SCAN. Values from VASP.

Quantum ESPRESSO input file:
```
&SYSTEM
  ibrav = 0, nat = 5, ntyp = 3
/
ATOMIC_SPECIES
Cr 52.00 Cr.upf
P 30.97 P.upf
Rh 102.91 Rh.upf
CELL_PARAMETERS angstrom
-1.888 1.888 4.449
1.888 -1.888 4.449
1.888 1.888 -4.449
ATOMIC_POSITIONS crystal
Cr 0.250 0.750 0.500
Cr 0.750 0.250 0.500
P 0.117 0.117 0.000
P 0.883 0.883 0.000
Rh 0.500 0.500 0.000
```

Computed properties:
The density of states at the Fermi level is 3.23 states/eV/f.u. The calculation puts the spin magnetization at 0.00 μB/cell. The energy relative to the elements comes out at -153 meV/atom. The electronic total energy comes out at -0.6769 Ha/atom.

---

(2)
This record from Alexandria via LeMat-Bulk describes a crystal of MgBr2Cl relaxed with PBEsol. The functional is meta-GGA SCAN. Values from VASP.

Quantum ESPRESSO input file:
```
&SYSTEM
  ibrav = 0, nat = 4, ntyp = 3
/
ATOMIC_SPECIES
Mg 24.30 Mg.upf
Br 79.90 Br.upf
Cl 35.45 Cl.upf
CELL_PARAMETERS angstrom
4.289 0.000 0.000
0.000 4.289 0.000
0.000 0.000 5.334
ATOMIC_POSITIONS crystal
Mg 0.000 0.000 0.000
Br 0.500 0.500 0.249
Br 0.500 0.500 0.751
Cl 0.000 0.000 0.500
```

Computed properties:
The density of states at the Fermi level is 1.30 states/eV/f.u. The calculation puts the spin magnetization at 0.00 μB/cell. The calculation puts the uncorrected formation energy at -0.65 eV/atom. The relative energy among the computed polymorphs comes out at 0.000 eV/f.u. The electronic total energy comes out at -0.5004 Ha/atom.

---

(3)
This record from Alexandria via LeMat-Bulk describes a crystal of BaLi2In relaxed with PBEsol. The functional is meta-GGA SCAN. Values from VASP.

Quantum ESPRESSO input file:
```
&SYSTEM
  ibrav = 0, nat = 4, ntyp = 3
/
ATOMIC_SPECIES
Ba 137.33 Ba.upf
Li 6.94 Li.upf
In 114.82 In.upf
CELL_PARAMETERS angstrom
2.437 1.407 5.531
-2.437 1.407 5.531
0.000 -2.815 5.531
ATOMIC_POSITIONS crystal
Ba 0.000 0.000 0.000
Li 0.200 0.200 0.200
Li 0.800 0.800 0.800
In 0.500 0.500 0.500
```

Computed properties:
The density of states at the Fermi level is 3.41 states/eV/f.u. The calculation puts the spin magnetization at 0.02 μB/cell. The energy relative to the elements comes out at -304 meV/atom. The electronic total energy comes out at -0.7252 Ha/atom.

---

(4)
This record from Alexandria via LeMat-Bulk describes a crystal of Ca2CoSe relaxed with PBEsol. The functional is meta-GGA SCAN. Values from VASP.

Quantum ESPRESSO input file:
```
&SYSTEM
  ibrav = 0, nat = 4, ntyp = 3
/
ATOMIC_SPECIES
Ca 40.08 Ca.upf
Co 58.93 Co.upf
Se 78.96 Se.upf
CELL_PARAMETERS angstrom
3.991 0.000 0.000
0.000 2.014 5.407
0.000 -2.014 5.407
ATOMIC_POSITIONS crystal
Ca 0.000 0.000 0.000
Ca 0.500 0.284 0.284
Co 0.000 0.708 0.708
Se 0.500 0.577 0.577
```

Computed properties:
The density of states at the Fermi level is 1.31 states/eV/f.u. The calculation puts the spin magnetization at 1.01 μB/cell. The calculation puts the uncorrected formation energy at -0.75 eV/atom. The electronic total energy comes out at -0.5486 Ha/atom.

---

(5)
This record from Alexandria via LeMat-Bulk describes a crystal of MgCdCu relaxed with PBEsol. The functional is meta-GGA SCAN. Values from VASP.

Quantum ESPRESSO input file:
```
&SYSTEM
  ibrav = 0, nat = 3, ntyp = 3
/
ATOMIC_SPECIES
Mg 24.30 Mg.upf
Cd 112.41 Cd.upf
Cu 63.55 Cu.upf
CELL_PARAMETERS angstrom
0.000 3.114 3.114
3.114 0.000 3.114
3.114 3.114 0.000
ATOMIC_POSITIONS crystal
Mg 0.000 0.000 0.000
Cd 0.250 0.250 0.250
Cu 0.500 0.500 0.500
```

Computed properties:
The density of states at the Fermi level is 1.28 states/eV/f.u. The calculation puts the spin magnetization at 0.00 μB/cell. The relative energy among the computed polymorphs comes out at 0.961 eV/f.u. The energy relative to the elements comes out at 235 meV/atom. The electronic total energy comes out at -0.6110 Ha/atom.

---

(6)
This record from Alexandria via LeMat-Bulk describes a crystal of AsIrO2 relaxed with PBEsol. The functional is meta-GGA SCAN. Values from VASP.

Quantum ESPRESSO input file:
```
&SYSTEM
  ibrav = 0, nat = 8, ntyp = 3
/
ATOMIC_SPECIES
As 74.92 As.upf
Ir 192.22 Ir.upf
O 16.00 O.upf
CELL_PARAMETERS angstrom
-1.900 1.900 6.576
1.900 -1.900 6.576
1.900 1.900 -6.576
ATOMIC_POSITIONS crystal
As 0.000 0.000 0.000
As 0.750 0.250 0.500
Ir 0.250 0.750 0.500
Ir 0.500 0.500 0.000
O 0.147 0.625 0.022
O 0.375 0.397 0.522
O 0.603 0.125 0.978
O 0.875 0.853 0.478
```

Computed properties:
The density of states at the Fermi level is 2.34 states/eV/f.u. The calculation puts the spin magnetization at 0.00 μB/cell. The calculation puts the uncorrected formation energy at 0.02 eV/atom. The electronic total energy comes out at -0.9526 Ha/atom.

---

(7)
This record from Alexandria via LeMat-Bulk describes a crystal of KInGa3 relaxed with PBEsol. The functional is meta-GGA SCAN. Values from VASP.

Quantum ESPRESSO input file:
```
&SYSTEM
  ibrav = 0, nat = 5, ntyp = 3
/
ATOMIC_SPECIES
K 39.10 K.upf
In 114.82 In.upf
Ga 69.72 Ga.upf
CELL_PARAMETERS angstrom
5.515 0.000 0.000
0.000 5.515 0.000
0.000 0.000 5.515
ATOMIC_POSITIONS crystal
K 0.000 0.000 0.000
In 0.500 0.500 0.500
Ga 0.000 0.000 0.500
Ga 0.000 0.500 0.000
Ga 0.500 0.000 0.000
```

Computed properties:
The density of states at the Fermi level is 3.86 states/eV/f.u. The calculation puts the spin magnetization at 0.00 μB/cell. The energy relative to the elements comes out at 1125 meV/atom. The electronic total energy comes out at -0.6257 Ha/atom.

---

(8)
This record from Alexandria via LeMat-Bulk describes a crystal of LaZnCu2 relaxed with PBEsol. The functional is meta-GGA SCAN. Values from VASP.

Quantum ESPRESSO input file:
```
&SYSTEM
  ibrav = 0, nat = 4, ntyp = 3
/
ATOMIC_SPECIES
La 138.91 La.upf
Zn 65.41 Zn.upf
Cu 63.55 Cu.upf
CELL_PARAMETERS angstrom
2.103 1.214 4.896
-2.103 1.214 4.896
0.000 -2.428 4.896
ATOMIC_POSITIONS crystal
La 0.000 0.000 0.000
Zn 0.201 0.201 0.201
Cu 0.490 0.490 0.490
Cu 0.800 0.800 0.800
```

Computed properties:
The density of states at the Fermi level is 3.20 states/eV/f.u. The calculation puts the spin magnetization at 0.00 μB/cell. The energy relative to the elements comes out at -218 meV/atom. The electronic total energy comes out at -0.8075 Ha/atom.

---

Question: Which value of spin magnetization does entry 7 give?
Answer: 0.00 μB/cell

---

What did the second record say?
This record from Alexandria via LeMat-Bulk describes a crystal of MgBr2Cl relaxed with PBEsol. The functional is meta-GGA SCAN. Values from VASP.

Quantum ESPRESSO input file:
```
&SYSTEM
  ibrav = 0, nat = 4, ntyp = 3
/
ATOMIC_SPECIES
Mg 24.30 Mg.upf
Br 79.90 Br.upf
Cl 35.45 Cl.upf
CELL_PARAMETERS angstrom
4.289 0.000 0.000
0.000 4.289 0.000
0.000 0.000 5.334
ATOMIC_POSITIONS crystal
Mg 0.000 0.000 0.000
Br 0.500 0.500 0.249
Br 0.500 0.500 0.751
Cl 0.000 0.000 0.500
```

Computed properties:
The density of states at the Fermi level is 1.30 states/eV/f.u. The calculation puts the spin magnetization at 0.00 μB/cell. The calculation puts the uncorrected formation energy at -0.65 eV/atom. The relative energy among the computed polymorphs comes out at 0.000 eV/f.u. The electronic total energy comes out at -0.5004 Ha/atom.

---

Question: Number 4 is which compound?
Answer: Ca2CoSe